Entry 1:
Below is a relaxed Na2CdInHg8 crystal, with properties calculated at the GGA-PBE level.

Calculated values
E_form (kJ per mole of atoms): -6.2

abc: 6.3534 6.3534 9.2218
angles: 90.00 90.00 120.00
Element x y z (fractional)
Cd1 0.0000 0.0000 0.0000
Hg1 0.3512 0.1756 0.7540
Hg2 0.8244 0.1756 0.7540
Hg3 0.8244 0.6488 0.7540
Hg4 0.3333 0.6667 0.5761
Hg5 0.6667 0.3333 0.4239
Hg6 0.1756 0.3512 0.2460
Hg7 0.6488 0.8244 0.2460
Hg8 0.1756 0.8244 0.2460
Na1 0.3333 0.6667 0.9231
Na2 0.6667 0.3333 0.0769
In1 0.0000 0.0000 0.5000

=====

Entry 2:
Below is a relaxed NaGaMo3 crystal, with properties calculated at the GGA-PBE level.

Calculated values
E_form (kJ per mole of atoms): 239.3
Energy above the most stable polymorph in this dataset (kJ per mole of atoms): 77.0

abc: 4.5345 4.5345 4.5345
angles: 90.00 90.00 90.00
Each line ends with the local moment (μB).
Element x y z (fractional)
Mo1 0.0000 0.5000 0.0000  0.51
Mo2 0.5000 0.0000 0.0000  0.73
Mo3 0.0000 0.0000 0.5000  0.56
Ga1 0.5000 0.5000 0.5000  -0.03
Na1 0.0000 0.0000 0.0000  0.07

=====

Entry 3:
Below is a relaxed CaYRhPb2 crystal, with properties calculated at the GGA-PBE level.

Calculated values
E_form (kJ per mole of atoms): -10.1

abc: 5.3710 5.1077 5.3710
angles: 90.00 90.00 90.00
Element x y z (fractional)
Ca1 0.0000 0.5000 0.0000
Pb1 0.0000 0.0000 0.5000
Pb2 0.5000 0.0000 0.0000
Y1 0.5000 0.5000 0.5000
Rh1 0.0000 0.0000 0.0000